Run one
This record from the Alexandria database describes crystalline Li2Cu2Ag at its relaxed geometry. The functional is PBE.

Lattice parameters (Å, degrees): 7.160 7.160 2.756 90.00 90.00 90.00
Element x y z (fractional)
Cu  0.378  0.878  0.000
Cu  0.878  0.622  0.000
Cu  0.622  0.122  0.000
Cu  0.122  0.378  0.000
Ag  0.000  0.000  0.000
Ag  0.500  0.500  0.000
Li  0.174  0.674  0.500
Li  0.674  0.826  0.500
Li  0.826  0.326  0.500
Li  0.326  0.174  0.500

Calculated values
DOS(E_F) = 1.523 states/eV/f.u.
symmetry = No. 127

Run two
This record from the Alexandria database describes crystalline Li2Cu2Ag at its relaxed geometry. The functional is PBE.

Lattice parameters (Å, degrees): 4.196 2.744 12.760 96.17 99.46 90.00
Element x y z (fractional)
Li  0.725  0.975  0.450
Li  0.275  0.025  0.550
Li  0.378  0.128  0.756
Li  0.622  0.872  0.244
Cu  0.540  0.290  0.080
Cu  0.953  0.203  0.906
Cu  0.460  0.710  0.920
Cu  0.047  0.797  0.094
Ag  0.830  0.580  0.661
Ag  0.170  0.420  0.339

Calculated values
DOS(E_F) = 1.376 states/eV/f.u.
symmetry = No. 74

Run three
This record from the Alexandria database describes crystalline Li2Cu2Ag at its relaxed geometry. The functional is PBE.

Lattice parameters (Å, degrees): 3.627 3.627 6.385 73.50 73.50 90.00
Element x y z (fractional)
Cu  0.401  0.401  0.199
Cu  0.599  0.599  0.801
Ag  0.000  0.000  0.000
Li  0.750  0.250  0.500
Li  0.250  0.750  0.500

Calculated values
DOS(E_F) = 1.333 states/eV/f.u.
symmetry = No. 139

Tell me which of them is the most stable. Sure, it is run two.